# 1
The following is a GGA-PBE calculation of crystalline Zr2TcH2 at its relaxed geometry, from Alexandria.

Unit cell a=3.3137 b=3.3137 c=11.7143 alpha=90.00 beta=90.00 gamma=90.00
Space group I4/mmm (No. 139)
Asymmetric unit:
Zr: 0.0000 0.0000 0.1373
Tc: 0.0000 0.0000 0.5000
H: 0.0000 0.5000 0.2500

## Properties
Fermi-level density of states in states/eV/cell: 3.56
Offset from the most stable computed form in meV/atom: 0
Total magnetic moment in μB per atom: 0.00

---

# 2
The following is a GGA-PBE calculation of crystalline BaSi2Tc at its relaxed geometry, from Alexandria.

Unit cell a=5.9209 b=9.1868 c=3.0776 alpha=90.00 beta=90.00 gamma=90.00
Space group Cmmm (No. 65)
Asymmetric unit:
Ba: 0.0000 0.0000 0.0000
Si: 0.2500 0.2500 0.5000
Tc: 0.0000 0.5000 0.0000

## Properties
Fermi-level density of states in states/eV/cell: 5.46
Energy relative to the elements, uncorrected in eV per atom: 0.849
Offset from the most stable computed form in meV/atom: 1118
Total magnetic moment in μB per atom: 0.44

---

# 3
The following is a GGA-PBE calculation of crystalline Pm6Te3Rh2Au at its relaxed geometry, from Alexandria.

Unit cell a=7.3420 b=12.7064 c=7.8940 alpha=90.00 beta=108.01 gamma=90.00
Space group C2/m (No. 12)
Asymmetric unit:
Pm: 0.2178 0.0000 0.2114
Pm: 0.2486 0.3236 0.2166
Te: 0.0000 0.0000 0.5000
Te: 0.0000 0.3393 0.5000
Rh: 0.0000 0.1677 0.0000
Au: 0.0000 0.5000 0.0000

## Properties
Fermi-level density of states in states/eV/cell: 14.30
Energy relative to the elements, uncorrected in eV per atom: -1.047
Total magnetic moment in μB per atom: 0.00

---

# 4
The following is a GGA-PBE calculation of crystalline K2SrTeS4 at its relaxed geometry, from Alexandria.

Unit cell a=8.3024 b=8.8209 c=12.1231 alpha=90.00 beta=90.00 gamma=90.00
Space group Imma (No. 74)
Asymmetric unit:
K: 0.0000 0.0000 0.0000
K: 0.2500 0.2500 0.2500
Sr: 0.0000 0.0000 0.5000
Te: 0.2500 0.2500 0.7500
S: 0.0000 0.0411 0.7463
S: 0.2380 0.2500 0.5272

## Properties
Energy relative to the elements, uncorrected in eV per atom: -0.997
Total magnetic moment in μB per atom: 0.00

---

# 5
The following is a GGA-PBE calculation of crystalline LaSm2DyIn4 at its relaxed geometry, from Alexandria.

Unit cell a=5.4306 b=5.4306 c=26.7147 alpha=90.00 beta=90.00 gamma=120.00
Space group R-3m (No. 166, hexagonal axes)
Asymmetric unit:
La: 0.0000 0.0000 0.0000
Sm: 0.0000 0.0000 0.2494
Dy: 0.0000 0.0000 0.5000
In: 0.0000 0.0000 0.1270
In: 0.0000 0.0000 0.3772

## Properties
Fermi-level density of states in states/eV/cell: 11.26
Formation energy from the elements in eV/f.u.: -3.86
Total magnetic moment in μB per atom: 0.00

---

# 6
The following is a GGA-PBE calculation of crystalline BaAlRh2 at its relaxed geometry, from Alexandria.

Unit cell a=6.8124 b=6.8124 c=6.8124 alpha=90.00 beta=90.00 gamma=90.00
Space group Fm-3m (No. 225)
Asymmetric unit:
Ba: 0.0000 0.0000 0.0000
Al: 0.0000 0.0000 0.5000
Rh: 0.2500 0.2500 0.2500

## Properties
Fermi-level density of states in states/eV/cell: 8.08
Formation energy from the elements in eV/f.u.: -0.02
Offset from the most stable computed form in meV/atom: 466
Total magnetic moment in μB per atom: 0.00

---

# 7
The following is a GGA-PBE calculation of crystalline Pr2ErTlO at its relaxed geometry, from Alexandria.

Unit cell a=5.0903 b=5.0903 c=4.6817 alpha=90.00 beta=90.00 gamma=90.00
Space group P4/mmm (No. 123)
Asymmetric unit:
Pr: 0.0000 0.5000 0.0000
Er: 0.0000 0.0000 0.5000
Tl: 0.5000 0.5000 0.5000
O: 0.0000 0.0000 0.0000

## Properties
Fermi-level density of states in states/eV/cell: 2.30
Energy relative to the elements, uncorrected in eV per atom: -1.326
Total magnetic moment in μB per atom: 0.00

---

# 8
The following is a GGA-PBE calculation of crystalline TiAg3Pd at its relaxed geometry, from Alexandria.

Unit cell a=4.8944 b=4.8944 c=4.8944 alpha=90.00 beta=90.00 gamma=90.00
Space group Pm-3m (No. 221)
Asymmetric unit:
Ti: 0.0000 0.0000 0.0000
Ag: 0.0000 0.0000 0.5000
Pd: 0.5000 0.5000 0.5000

## Properties
Fermi-level density of states in states/eV/cell: 12.41
Formation energy from the elements in eV/f.u.: 6.33
Offset from the most stable computed form in meV/atom: 235
Total magnetic moment in μB per atom: 0.00

---

# 9
The following is a GGA-PBE calculation of crystalline ScTc3Os at its relaxed geometry, from Alexandria.

Unit cell a=4.6888 b=4.6888 c=4.6888 alpha=90.00 beta=90.00 gamma=90.00
Space group Pm-3m (No. 221)
Asymmetric unit:
Sc: 0.0000 0.0000 0.0000
Tc: 0.0000 0.5000 0.5000
Os: 0.5000 0.5000 0.5000

## Properties
Fermi-level density of states in states/eV/cell: 7.28
Formation energy from the elements in eV/f.u.: 5.86
Offset from the most stable computed form in meV/atom: 0
Total magnetic moment in μB per atom: 0.00

---

# 10
The following is a GGA-PBE calculation of crystalline MgTlH6Pt at its relaxed geometry, from Alexandria.

Unit cell a=4.7461 b=4.7461 c=5.9475 alpha=90.00 beta=90.00 gamma=120.00
Space group P312 (No. 149)
Asymmetric unit:
Mg: 0.0000 0.0000 0.0000
Tl: 0.6667 0.3333 0.5000
H: 0.0556 0.3954 0.1793
Pt: 0.3333 0.6667 0.0000

## Properties
Fermi-level density of states in states/eV/cell: 1.08
E_tot in eV/atom: -3.453
Total magnetic moment in μB per atom: 0.00

---

# 11
The following is a GGA-PBE calculation of crystalline La2Mg2Ag at its relaxed geometry, from Alexandria.

Unit cell a=7.1737 b=7.1737 c=5.4558 alpha=90.00 beta=90.00 gamma=90.00
Space group P4/mbm (No. 127)
Asymmetric unit:
La: 0.1642 0.3358 0.0000
Mg: 0.1450 0.6450 0.5000
Ag: 0.0000 0.0000 0.5000

## Properties
Fermi-level density of states in states/eV/cell: 11.85
Formation energy from the elements in eV/f.u.: -0.46
Total magnetic moment in μB per atom: 0.00

---

# 12
The following is a GGA-PBE calculation of crystalline ZrScBe2 at its relaxed geometry, from Alexandria.

Unit cell a=3.2400 b=3.2400 c=23.1992 alpha=90.00 beta=90.00 gamma=120.00
Space group R-3m (No. 166, hexagonal axes)
Asymmetric unit:
Zr: 0.0000 0.0000 0.0000
Sc: 0.0000 0.0000 0.5000
Be: 0.0000 0.0000 0.2495

## Properties
Fermi-level density of states in states/eV/cell: 6.28
Formation energy from the elements in eV/f.u.: 1.19
Offset from the most stable computed form in meV/atom: 368
Total magnetic moment in μB per atom: 0.00